Entry 1:
Below is crystalline PrGeN2F at its relaxed geometry, with properties calculated at the PBE-GGA level.

Summary:
ΔE_f (raw) in eV per formula unit: -6.59
Electronic total energy in eV/atom: -6.9014

a = 6.461 Å, b = 3.591 Å, c = 6.666 Å
α = 90.00°, β = 100.63°, γ = 90.00°
Space group P2_1/m (No. 11)
Unique sites:
Pr1 0.217 0.250 0.409 (multiplicity 2)
Ge1 0.343 0.750 0.894 (multiplicity 2)
N1 0.162 0.750 0.651 (multiplicity 2)
N2 0.348 0.250 0.037 (multiplicity 2)
F1 0.444 0.750 0.353 (multiplicity 2)



Entry 2:
Below is crystalline Be2ReHg at its relaxed geometry, with properties calculated at the PBE-GGA level.

Summary:
Energy of formation from the pure elements in eV/atom: 0.4062
Electronic total energy in eV/atom: -4.6444

a = 2.736 Å, b = 3.121 Å, c = 6.188 Å
α = 90.00°, β = 90.00°, γ = 90.00°
Space group Pmm2 (No. 25)
Unique sites:
Be1 0.000 0.000 0.000 (multiplicity 1)
Be2 0.500 0.500 0.173 (multiplicity 1)
Re1 0.500 0.500 0.794 (multiplicity 1)
Hg1 0.000 0.000 0.443 (multiplicity 1)



Entry 3:
Below is crystalline La2Zn4GaAu3 at its relaxed geometry, with properties calculated at the PBE-GGA level.

Summary:
Energy of formation from the pure elements in eV/atom: -0.5427
Electronic total energy in eV/atom: -3.3237

a = 4.330 Å, b = 4.330 Å, c = 11.195 Å
α = 90.00°, β = 90.00°, γ = 90.00°
Space group P-4m2 (No. 115)
Unique sites:
La1 0.000 0.500 0.247 (multiplicity 2)
Zn1 0.000 0.000 0.500 (multiplicity 1)
Zn2 0.000 0.500 0.868 (multiplicity 2)
Zn3 0.500 0.500 0.500 (multiplicity 1)
Ga1 0.500 0.500 0.000 (multiplicity 1)
Au1 0.000 0.000 0.000 (multiplicity 1)
Au2 0.000 0.500 0.638 (multiplicity 2)



Entry 4:
Below is crystalline YMg3Ag3 at its relaxed geometry, with properties calculated at the PBE-GGA level.

Summary:
Energy of formation from the pure elements in eV/atom: 0.3323
Electronic total energy in eV/atom: -2.4965

a = 7.220 Å, b = 7.220 Å, c = 7.220 Å
α = 90.00°, β = 90.00°, γ = 90.00°
Space group Pm-3n (No. 223)
Unique sites:
Y1 0.000 0.000 0.000 (multiplicity 2)
Mg1 0.000 0.250 0.500 (multiplicity 6)
Ag1 0.000 0.500 0.250 (multiplicity 6)



Entry 5:
Below is crystalline ThIn2Au4 at its relaxed geometry, with properties calculated at the PBE-GGA level.

Summary:
Energy of formation from the pure elements in eV/atom: -0.3980
Electronic total energy in eV/atom: -4.1132

a = 8.278 Å, b = 4.810 Å, c = 8.866 Å
α = 90.00°, β = 116.61°, γ = 90.00°
Space group C2/m (No. 12)
Unique sites:
Th1 0.000 0.000 0.000 (multiplicity 2)
In1 0.031 0.500 0.709 (multiplicity 4)
Au1 0.184 0.000 0.400 (multiplicity 4)
Au2 0.242 0.000 0.811 (multiplicity 4)



Entry 6:
Below is crystalline Li2ScBiH at its relaxed geometry, with properties calculated at the PBE-GGA level.

Summary:
Electronic total energy in eV/atom: -3.9684

a = 4.301 Å, b = 4.301 Å, c = 4.397 Å
α = 90.00°, β = 90.00°, γ = 90.00°
Space group P4/mmm (No. 123)
Unique sites:
Li1 0.000 0.500 0.000 (multiplicity 2)
Sc1 0.000 0.000 0.500 (multiplicity 1)
Bi1 0.500 0.500 0.500 (multiplicity 1)
H1 0.000 0.000 0.000 (multiplicity 1)



Entry 7:
Below is crystalline Ca2IrNCl at its relaxed geometry, with properties calculated at the PBE-GGA level.

Summary:
ΔE_f (raw) in eV per formula unit: -5.18
Electronic total energy in eV/atom: -5.6429

a = 5.149 Å, b = 5.149 Å, c = 3.784 Å
α = 90.00°, β = 90.00°, γ = 90.00°
Space group P4/mmm (No. 123)
Unique sites:
Ca1 0.000 0.500 0.000 (multiplicity 2)
Ir1 0.000 0.000 0.500 (multiplicity 1)
N1 0.000 0.000 0.000 (multiplicity 1)
Cl1 0.500 0.500 0.500 (multiplicity 1)



Entry 8:
Below is crystalline ZrMo at its relaxed geometry, with properties calculated at the PBE-GGA level.

Summary:
Energy of formation from the pure elements in eV/atom: 0.5381
Electronic total energy in eV/atom: -9.1515

a = 7.291 Å, b = 8.587 Å, c = 10.430 Å
α = 90.00°, β = 90.00°, γ = 90.00°
Space group Fddd (No. 70, origin choice 2)
Unique sites:
Zr1 0.125 0.315 0.125 (multiplicity 16)
Mo1 0.042 0.375 0.875 (multiplicity 16)



Entry 9:
Below is crystalline TbPu2MnN4 at its relaxed geometry, with properties calculated at the PBE-GGA level.

Summary:
ΔE_f (raw) in eV per formula unit: -8.49
Electronic total energy in eV/atom: -10.5319

a = 3.319 Å, b = 11.375 Å, c = 11.460 Å
α = 90.00°, β = 90.00°, γ = 90.00°
Space group Cmcm (No. 63)
Unique sites:
Tb1 0.000 0.108 0.250 (multiplicity 4)
Pu1 0.000 0.368 0.052 (multiplicity 8)
Mn1 0.000 0.156 0.750 (multiplicity 4)
N1 0.000 0.000 0.000 (multiplicity 4)
N2 0.000 0.270 0.623 (multiplicity 8)
N3 0.000 0.447 0.250 (multiplicity 4)



Entry 10:
Below is crystalline ReGeSbI2 at its relaxed geometry, with properties calculated at the PBE-GGA level.

Summary:
ΔE_f (raw) in eV per formula unit: 4.94
Electronic total energy in eV/atom: -3.8695

a = 5.531 Å, b = 5.531 Å, c = 5.141 Å
α = 90.00°, β = 90.00°, γ = 90.00°
Space group P4/mmm (No. 123)
Unique sites:
Re1 0.000 0.000 0.000 (multiplicity 1)
Ge1 0.500 0.500 0.500 (multiplicity 1)
Sb1 0.000 0.000 0.500 (multiplicity 1)
I1 0.000 0.500 0.000 (multiplicity 2)



Entry 11:
Below is crystalline LiHoTl6 at its relaxed geometry, with properties calculated at the PBE-GGA level.

Summary:
Energy of formation from the pure elements in eV/atom: -0.1082
Electronic total energy in eV/atom: -2.6944

a = 4.762 Å, b = 4.762 Å, c = 9.470 Å
α = 90.00°, β = 90.00°, γ = 90.00°
Space group P4/mmm (No. 123)
Unique sites:
Li1 0.000 0.000 0.000 (multiplicity 1)
Ho1 0.000 0.000 0.500 (multiplicity 1)
Tl1 0.000 0.500 0.246 (multiplicity 4)
Tl2 0.500 0.500 0.000 (multiplicity 1)
Tl3 0.500 0.500 0.500 (multiplicity 1)



Entry 12:
Below is crystalline SrMgSnBr6 at its relaxed geometry, with properties calculated at the PBE-GGA level.

Summary:
ΔE_f (raw) in eV per formula unit: -12.71
Electronic total energy in eV/atom: -3.3363

a = 6.896 Å, b = 6.896 Å, c = 13.179 Å
α = 90.00°, β = 90.00°, γ = 90.00°
Space group P4_2nm (No. 102)
Unique sites:
Sr1 0.000 0.000 0.000 (multiplicity 2)
Mg1 0.000 0.000 0.666 (multiplicity 2)
Sn1 0.000 0.000 0.332 (multiplicity 2)
Br1 0.185 0.185 0.513 (multiplicity 4)
Br2 0.190 0.190 0.815 (multiplicity 4)
Br3 0.216 0.216 0.168 (multiplicity 4)



Entry 13:
Below is crystalline PaTaSi2Ir at its relaxed geometry, with properties calculated at the PBE-GGA level.

Summary:
ΔE_f (raw) in eV per formula unit: -3.10
Electronic total energy in eV/atom: -8.8308

a = 4.062 Å, b = 4.062 Å, c = 10.742 Å
α = 90.00°, β = 90.00°, γ = 90.00°
Space group I-4m2 (No. 119)
Unique sites:
Pa1 0.000 0.000 0.000 (multiplicity 2)
Ta1 0.000 0.500 0.250 (multiplicity 2)
Si1 0.000 0.000 0.391 (multiplicity 4)
Ir1 0.000 0.500 0.750 (multiplicity 2)



Entry 14:
Below is crystalline LiMn2Br at its relaxed geometry, with properties calculated at the PBE-GGA level.

Summary:
ΔE_f (raw) in eV per formula unit: 1.72
Electronic total energy in eV/atom: -5.0509

a = 3.2267 Å, b = 3.2267 Å, c = 25.7582 Å
α = 90.00°, β = 90.00°, γ = 120.00°
Space group R-3m (No. 166, hexagonal axes)
Unique sites:
Li1 0.0000 0.0000 0.0000 (multiplicity 3)
Mn1 0.0000 0.0000 0.2484 (multiplicity 6)
Br1 0.0000 0.0000 0.5000 (multiplicity 3)



Entry 15:
Below is crystalline Zn3AgPb2Au12 at its relaxed geometry, with properties calculated at the PBE-GGA level.

Summary:
Energy of formation from the pure elements in eV/atom: 0.0938
Electronic total energy in eV/atom: -2.8739

a = 8.5592 Å, b = 8.5592 Å, c = 19.3137 Å
α = 90.00°, β = 90.00°, γ = 120.00°
Space group R-3m (No. 166, hexagonal axes)
Unique sites:
Zn1 0.0000 0.5000 0.0000 (multiplicity 9)
Ag1 0.0000 0.0000 0.5000 (multiplicity 3)
Pb1 0.0000 0.0000 0.1099 (multiplicity 6)
Au1 0.0087 0.5044 0.3762 (multiplicity 18)
Au2 0.0239 0.5119 0.8672 (multiplicity 18)



Entry 16:
Below is crystalline Tb3Pm2Ni2 at its relaxed geometry, with properties calculated at the PBE-GGA level.

Summary:
Energy of formation from the pure elements in eV/atom: -0.2276
Electronic total energy in eV/atom: -5.2212

a = 12.271 Å, b = 3.648 Å, c = 9.065 Å
α = 90.00°, β = 116.53°, γ = 90.00°
Space group C2/m (No. 12)
Unique sites:
Tb1 0.000 0.000 0.000 (multiplicity 2)
Tb2 0.116 0.000 0.432 (multiplicity 4)
Pm1 0.165 0.500 0.809 (multiplicity 4)
Ni1 0.169 0.500 0.239 (multiplicity 4)



Entry 17:
Below is crystalline Lu2ThAl at its relaxed geometry, with properties calculated at the PBE-GGA level.

Summary:
Energy of formation from the pure elements in eV/atom: -0.1922
Electronic total energy in eV/atom: -5.2433

a = 3.465 Å, b = 3.465 Å, c = 8.809 Å
α = 90.00°, β = 90.00°, γ = 90.00°
Space group P4/mmm (No. 123)
Unique sites:
Lu1 0.000 0.000 0.216 (multiplicity 2)
Th1 0.500 0.500 0.500 (multiplicity 1)
Al1 0.500 0.500 0.000 (multiplicity 1)



Entry 18:
Below is crystalline ZrIr2Ru at its relaxed geometry, with properties calculated at the PBE-GGA level.

Summary:
Energy of formation from the pure elements in eV/atom: 0.0764
Electronic total energy in eV/atom: -8.8101

a = 3.897 Å, b = 3.897 Å, c = 18.329 Å
α = 90.00°, β = 90.00°, γ = 90.00°
Space group I-42d (No. 122)
Unique sites:
Zr1 0.000 0.000 0.000 (multiplicity 4)
Ir1 0.225 0.250 0.625 (multiplicity 8)
Ru1 0.000 0.000 0.500 (multiplicity 4)



Entry 19:
Below is crystalline ScAlTe4 at its relaxed geometry, with properties calculated at the PBE-GGA level.

Summary:
ΔE_f (raw) in eV per formula unit: 2.36
Electronic total energy in eV/atom: -3.3805

a = 8.910 Å, b = 8.910 Å, c = 8.910 Å
α = 90.00°, β = 90.00°, γ = 90.00°
Space group F-43m (No. 216)
Unique sites:
Sc1 0.000 0.000 0.000 (multiplicity 4)
Al1 0.250 0.250 0.250 (multiplicity 4)
Te1 0.125 0.125 0.625 (multiplicity 16)



Entry 20:
Below is crystalline CsSrCa2 at its relaxed geometry, with properties calculated at the PBE-GGA level.

Summary:
Energy of formation from the pure elements in eV/atom: 0.1495
Electronic total energy in eV/atom: -1.4852

a = 4.186 Å, b = 4.186 Å, c = 12.831 Å
α = 90.00°, β = 90.00°, γ = 90.00°
Space group P4/mmm (No. 123)
Unique sites:
Cs1 0.000 0.000 0.000 (multiplicity 1)
Sr1 0.000 0.000 0.500 (multiplicity 1)
Ca1 0.500 0.500 0.283 (multiplicity 2)